[1]
Entry from Alexandria via LeMat-Bulk: crystalline TcIr2Ru at its relaxed geometry (GGA-PBE).

Geometry as POSCAR:
```
TcIr2Ru
1.0
4.7239 0.0004 0.0010
3.9430 2.6015 0.0010
0.7759 0.2329 4.6678
Ru Ir Tc
1 2 1
Direct
0.4997 0.4997 0.4985
0.0014 0.0014 0.9963
0.2490 0.2490 0.2548
0.7498 0.7498 0.7504
```

Summary:
- distance to the lowest polymorph of the same formula (eV/f.u.) = 0.333

***

[2]
Entry from Alexandria via LeMat-Bulk: crystalline MnTlFe at its relaxed geometry (GGA-PBE).

Geometry as POSCAR:
```
MnTlFe
1.0
4.3588 0.0000 0.0000
-2.1794 3.7749 0.0000
0.0000 0.0000 2.8884
Fe Mn Tl
1 1 1
Direct
0.0000 0.0000 0.0561
0.6667 0.3333 0.2698
0.3333 0.6667 0.6740
```

***

| no. | density of states at the Fermi level (states/eV/f.u.) | formation energy from the elements (meV/atom) | energy (eV/atom) |
| --- | --- | --- | --- |
| 1 | 3.84 | -84 | -9.4252 |
| 2 | 3.32 | 603 | -6.0627 |